Record 1
The following is a DFT calculation (GGA-PBE) of an optimized crystal structure of YMgCd2Hg2. Values from VASP.

**E_tot**: -11.3 eV/cell
**N(E_F)**: 1.82 states/eV/cell
**Calculated formation energy**: -127 meV per atom

```
&SYSTEM
  ibrav = 0, nat = 6, ntyp = 4
/
ATOMIC_SPECIES
Cd 112.41 Cd.upf
Hg 200.59 Hg.upf
Y 88.91 Y.upf
Mg 24.30 Mg.upf
CELL_PARAMETERS angstrom
-0.673 4.715 2.459
-2.317 0.197 4.830
4.403 1.045 5.044
ATOMIC_POSITIONS crystal
Cd 0.338 0.338 0.987
Cd 0.662 0.662 0.013
Hg 0.173 0.173 0.482
Hg 0.827 0.827 0.518
Y 0.000 0.000 0.000
Mg 0.500 0.500 0.500
```

Record 2
The following is a DFT calculation (GGA-PBE) of an optimized crystal structure of Hf4MgZr2. Values from VASP.

**E_tot**: -57.9 eV/cell
**N(E_F)**: 6.81 states/eV/cell
**Calculated formation energy**: 79 meV per atom

```
&SYSTEM
  ibrav = 0, nat = 7, ntyp = 3
/
ATOMIC_SPECIES
Mg 24.30 Mg.upf
Hf 178.49 Hf.upf
Zr 91.22 Zr.upf
CELL_PARAMETERS angstrom
-1.686 2.531 0.693
-1.183 -1.470 2.492
13.249 4.463 8.922
ATOMIC_POSITIONS crystal
Mg 0.500 0.000 0.000
Hf 0.362 0.000 0.725
Hf 0.929 0.500 0.857
Hf 0.071 0.500 0.143
Hf 0.638 0.000 0.275
Zr 0.205 0.500 0.410
Zr 0.795 0.500 0.590
```

Record 3
The following is a DFT calculation (GGA-PBE) of an optimized crystal structure of Dy5ScIn4. Values from VASP.

**E_tot**: -44.0 eV/cell
**N(E_F)**: 7.42 states/eV/cell
**Calculated formation energy**: -369 meV per atom

```
&SYSTEM
  ibrav = 0, nat = 10, ntyp = 3
/
ATOMIC_SPECIES
Dy 162.50 Dy.upf
Sc 44.96 Sc.upf
In 114.82 In.upf
CELL_PARAMETERS angstrom
3.712 0.000 0.000
0.000 3.712 0.000
0.000 0.000 19.561
ATOMIC_POSITIONS crystal
Dy 0.500 0.500 0.698
Dy 0.500 0.500 0.896
Dy 0.500 0.500 0.104
Dy 0.500 0.500 0.500
Dy 0.500 0.500 0.302
Sc 0.000 0.000 0.000
In 0.000 0.000 0.599
In 0.000 0.000 0.401
In 0.000 0.000 0.202
In 0.000 0.000 0.798
```

Record 4
The following is a DFT calculation (GGA-PBE) of an optimized crystal structure of BaMg. Values from VASP.

**E_tot**: -10.3 eV/cell
**N(E_F)**: 7.47 states/eV/cell
**Calculated formation energy**: 38 meV per atom

```
&SYSTEM
  ibrav = 0, nat = 6, ntyp = 2
/
ATOMIC_SPECIES
Ba 137.33 Ba.upf
Mg 24.30 Mg.upf
CELL_PARAMETERS angstrom
-2.354 3.808 7.390
2.354 -3.808 7.390
2.354 3.808 -7.390
ATOMIC_POSITIONS crystal
Ba 0.620 0.700 0.920
Ba 0.220 0.300 0.920
Ba 0.689 0.000 0.689
Mg 0.870 0.394 0.476
Mg 0.190 0.000 0.190
Mg 0.082 0.606 0.476
```

Record 5
The following is a DFT calculation (GGA-PBE) of an optimized crystal structure of Y3ZnSi. Values from VASP.

**E_tot**: -26.2 eV/cell
**N(E_F)**: 8.17 states/eV/cell
**Energy relative to the elements, uncorrected**: -0.01 eV/atom
**E above lowest polymorph**: 0.0000 eV/atom

```
&SYSTEM
  ibrav = 0, nat = 5, ntyp = 3
/
ATOMIC_SPECIES
Zn 65.41 Zn.upf
Y 88.91 Y.upf
Si 28.09 Si.upf
CELL_PARAMETERS angstrom
-3.015 -3.629 2.585
3.903 -3.657 -0.582
2.149 1.549 4.682
ATOMIC_POSITIONS crystal
Zn 0.500 0.500 0.500
Y 0.500 0.000 0.000
Y 0.000 0.000 0.500
Y 0.000 0.500 0.000
Si 0.000 0.000 0.000
```

Record 6
The following is a DFT calculation (GGA-PBE) of an optimized crystal structure of Zr2MnIn2. Values from VASP.

**E_tot**: -61.8 eV/cell
**N(E_F)**: 8.14 states/eV/cell
**Calculated formation energy**: 169 meV per atom

```
&SYSTEM
  ibrav = 0, nat = 10, ntyp = 3
/
ATOMIC_SPECIES
In 114.82 In.upf
Zr 91.22 Zr.upf
Mn 54.94 Mn.upf
CELL_PARAMETERS angstrom
-3.111 -2.526 5.864
-2.687 -5.399 -3.751
3.360 -2.240 0.817
ATOMIC_POSITIONS crystal
In 0.360 0.860 0.000
In 0.140 0.360 0.000
In 0.640 0.140 0.000
In 0.860 0.640 0.000
Zr 0.169 0.669 0.500
Zr 0.331 0.169 0.500
Zr 0.831 0.331 0.500
Zr 0.669 0.831 0.500
Mn 0.500 0.500 0.000
Mn 0.000 0.000 0.000
```

Record 7
The following is a DFT calculation (GGA-PBE) of an optimized crystal structure of Cs4HBr3. Values from VASP.

**E_tot**: -22.7 eV/cell
**N(E_F)**: 0.00 states/eV/cell

```
&SYSTEM
  ibrav = 0, nat = 8, ntyp = 3
/
ATOMIC_SPECIES
Cs 132.91 Cs.upf
Br 79.90 Br.upf
H 1.01 H.upf
CELL_PARAMETERS angstrom
5.100 0.000 0.000
0.000 8.832 -0.072
0.000 -2.853 8.358
ATOMIC_POSITIONS crystal
Cs 0.000 0.236 0.236
Cs 0.500 0.239 0.761
Cs 0.500 0.761 0.239
Cs 0.000 0.764 0.764
Br 0.500 0.500 0.500
Br 0.000 0.000 0.500
Br 0.000 0.500 0.000
H 0.500 0.000 0.000
```

Record 8
The following is a DFT calculation (GGA-PBE) of an optimized crystal structure of RbFeCu. Values from VASP.

**E_tot**: -23.9 eV/cell
**N(E_F)**: 4.14 states/eV/cell
**Calculated formation energy**: 524 meV per atom
**E above lowest polymorph**: 0.0432 eV/atom

```
&SYSTEM
  ibrav = 0, nat = 6, ntyp = 3
/
ATOMIC_SPECIES
Cu 63.55 Cu.upf
Fe 55.84 Fe.upf
Rb 85.47 Rb.upf
CELL_PARAMETERS angstrom
-3.555 0.800 -0.518
-2.601 -3.572 -0.585
-3.814 -2.184 11.002
ATOMIC_POSITIONS crystal
Cu 0.347 0.351 0.370
Cu 0.971 0.228 0.233
Fe 0.659 0.780 0.311
Fe 0.040 0.916 0.423
Rb 0.315 0.735 0.029
Rb 0.702 0.394 0.640
```

Record 9
The following is a DFT calculation (GGA-PBE) of an optimized crystal structure of La2ZnW. Values from VASP.

**E_tot**: -40.5 eV/cell
**N(E_F)**: 8.28 states/eV/cell
**Calculated formation energy**: 962 meV per atom

```
&SYSTEM
  ibrav = 0, nat = 8, ntyp = 3
/
ATOMIC_SPECIES
La 138.91 La.upf
W 183.84 W.upf
Zn 65.41 Zn.upf
CELL_PARAMETERS angstrom
-1.312 -2.369 -3.417
1.330 -3.634 2.008
-9.384 -4.046 3.625
ATOMIC_POSITIONS crystal
La 0.107 0.625 0.250
La 0.875 0.893 0.750
La 0.643 0.125 0.250
La 0.375 0.357 0.750
W 0.000 0.000 0.000
W 0.750 0.250 0.500
Zn 0.500 0.500 0.000
Zn 0.250 0.750 0.500
```

Record 10
The following is a DFT calculation (GGA-PBE) of an optimized crystal structure of KMg2Al. Values from VASP.

**E_tot**: -6.8 eV/cell
**N(E_F)**: 1.73 states/eV/cell
**Calculated formation energy**: 296 meV per atom

```
&SYSTEM
  ibrav = 0, nat = 4, ntyp = 3
/
ATOMIC_SPECIES
Mg 24.30 Mg.upf
K 39.10 K.upf
Al 26.98 Al.upf
CELL_PARAMETERS angstrom
6.736 0.001 -0.016
3.440 5.792 0.016
-4.222 -4.419 2.834
ATOMIC_POSITIONS crystal
Mg 0.733 0.233 0.500
Mg 0.972 0.972 0.000
K 0.265 0.765 0.500
Al 0.530 0.530 0.000
```

Record 11
The following is a DFT calculation (GGA-PBE) of an optimized crystal structure of AcEuAu2. Values from VASP.

**E_tot**: -24.1 eV/cell
**N(E_F)**: 10.36 states/eV/cell
**Calculated formation energy**: -783 meV per atom
**E above lowest polymorph**: 0.0069 eV/atom

```
&SYSTEM
  ibrav = 0, nat = 4, ntyp = 3
/
ATOMIC_SPECIES
Ac 227.00 Ac.upf
Eu 151.96 Eu.upf
Au 196.97 Au.upf
CELL_PARAMETERS angstrom
-3.767 0.142 0.664
0.551 -3.707 3.920
0.788 3.953 3.627
ATOMIC_POSITIONS crystal
Ac 0.500 0.000 0.000
Eu 0.500 0.500 0.500
Au 0.000 0.500 0.000
Au 0.000 0.000 0.500
```

Record 12
The following is a DFT calculation (GGA-PBE) of an optimized crystal structure of CsSe2I2. Values from VASP.

**E_tot**: -26.0 eV/cell
**N(E_F)**: 0.00 states/eV/cell
**Energy relative to the elements, uncorrected**: -0.41 eV/atom
**E above lowest polymorph**: 0.0168 eV/atom

```
&SYSTEM
  ibrav = 0, nat = 10, ntyp = 3
/
ATOMIC_SPECIES
Se 78.96 Se.upf
I 126.90 I.upf
Cs 132.91 Cs.upf
CELL_PARAMETERS angstrom
9.640 0.000 0.000
0.000 9.640 0.000
0.000 0.000 4.905
ATOMIC_POSITIONS crystal
Se 0.420 0.920 0.000
Se 0.920 0.580 0.000
Se 0.580 0.080 0.000
Se 0.080 0.420 0.000
I 0.759 0.741 0.500
I 0.741 0.241 0.500
I 0.241 0.259 0.500
I 0.259 0.759 0.500
Cs 0.000 0.000 0.000
Cs 0.500 0.500 0.000
```